A plane-wave DFT calculation with PBE-GGA was carried out for a geometry-optimized Pa2Fe2B3 structure.

Cell: 5.183 5.183 4.948 Å, 98.02 98.02 42.98°
Atoms (fractional coordinates):
Pa 0.168 0.168 0.225
Pa 0.832 0.832 0.775
Fe 0.108 0.108 0.697
Fe 0.892 0.892 0.303
B 0.457 0.457 0.147
B 0.500 0.500 0.500
B 0.543 0.543 0.853

Output
The density of states at the Fermi level comes out at 5.42 states/eV/f.u. For the calculated formation energy, the calculation gives -0.3920 eV per atom. As for the crystal system: monoclinic. As for the final energy: -58.7 eV/cell.